Record 1
3
Lattice="6.319 0.495 0.000 3.976 4.936 0.000 -5.148 -2.715 2.510" Properties=species:S:1:pos:R:3 comment="ZnSbAs (PBE, optimized geometry)" relative_energy_ev_per_atom=0.034 density_g_cm3=5.934 final_energy_ev_per_atom=-3.184 sg="I4mm, No. 107" total_magnetization_mub_per_atom=0.0000 pbc="T T T"
As 0.743 0.392 0.000
Sb 3.115 1.643 0.000
Zn 6.437 3.396 0.000

Record 2
4
Lattice="-0.215 0.921 3.454 -2.899 -2.044 0.364 3.739 -5.023 1.572" Properties=species:S:1:pos:R:3 comment="ZnSbAs2 (PBE, optimized geometry)" relative_energy_ev_per_atom=0.229 density_g_cm3=6.790 final_energy_ev_per_atom=-3.405 sg="Pmmm, No. 47" total_magnetization_mub_per_atom=0.0000 pbc="T T T"
Sb -0.622 -1.817 2.302
As 2.037 -2.736 0.856
As 3.572 -4.798 1.501
Zn 1.247 -4.329 3.088

Record 3
4
Lattice="3.997 0.000 0.000 0.000 3.040 0.031 0.000 -1.859 7.997" Properties=species:S:1:pos:R:3 comment="ZnSb2As (PBE, optimized geometry)" relative_energy_ev_per_atom=0.063 density_g_cm3=6.543 final_energy_ev_per_atom=-3.413 sg="P2/m, No. 10" total_magnetization_mub_per_atom=0.0000 pbc="T T T"
Zn 1.999 0.295 2.007
As 1.999 0.886 6.021
Sb 0.000 2.715 0.113
Sb 0.000 0.916 3.932

Record 4
5
Lattice="-0.200 1.882 -3.385 -1.029 -3.293 -1.770 -7.213 0.721 -1.395" Properties=species:S:1:pos:R:3 comment="Zn2SbAs2 (PBE, optimized geometry)" relative_energy_ev_per_atom=0.000 density_g_cm3=6.484 final_energy_ev_per_atom=-3.053 sg="I4/mmm, No. 139" total_magnetization_mub_per_atom=0.0000 pbc="T T T"
As -2.211 -0.360 -2.291
As -6.230 -0.329 -4.259
Zn -4.428 -1.639 -2.871
Zn -4.013 0.949 -3.679
Sb 0.000 0.000 0.000

Record 5
8
Lattice="-0.140 -5.953 -0.782 5.518 0.181 -2.366 5.115 -3.679 4.025" Properties=species:S:1:pos:R:3 comment="ZnSbAs2 (PBE, optimized geometry)" relative_energy_ev_per_atom=0.007 density_g_cm3=5.042 final_energy_ev_per_atom=-3.627 sg="I-42d, No. 122" total_magnetization_mub_per_atom=0.0000 pbc="T T T"
Zn 2.689 -2.886 -1.574
Zn 6.661 -3.192 0.043
As 4.705 -1.770 -0.599
As 1.886 -4.399 0.251
As 6.056 -4.917 1.752
As 8.339 -7.816 0.352
Sb 3.832 -6.259 0.835
Sb 0.000 0.000 0.000

Record 6
4
Lattice="0.000 3.469 3.469 3.469 0.000 3.469 3.469 3.469 0.000" Properties=species:S:1:pos:R:3 comment="ZnSbAs2 (PBE, optimized geometry)" relative_energy_ev_per_atom=0.285 density_g_cm3=6.702 final_energy_ev_per_atom=-3.349 sg="Fm-3m, No. 225" total_magnetization_mub_per_atom=0.0000 pbc="T T T"
Sb 3.469 3.469 3.469
Zn 0.000 0.000 0.000
As 1.735 1.735 1.735
As 5.204 5.204 5.204

Record 7
4
Lattice="4.922 0.000 0.000 0.000 5.032 0.000 0.000 0.000 3.641" Properties=species:S:1:pos:R:3 comment="ZnSb2As (PBE, optimized geometry)" relative_energy_ev_per_atom=0.195 density_g_cm3=7.068 final_energy_ev_per_atom=-3.282 sg="Pmmm, No. 47" total_magnetization_mub_per_atom=0.0000 pbc="T T T"
As 0.000 2.516 1.820
Sb 2.461 2.516 0.000
Sb 0.000 0.000 0.000
Zn 2.461 0.000 1.820

Record 8
4
Lattice="6.264 -0.077 -0.222 -2.950 5.074 -0.006 0.365 0.999 2.896" Properties=species:S:1:pos:R:3 comment="ZnSb2As (PBE, optimized geometry)" relative_energy_ev_per_atom=0.224 density_g_cm3=6.890 final_energy_ev_per_atom=-3.253 sg="C2/m, No. 12" total_magnetization_mub_per_atom=0.0000 pbc="T T T"
As 1.657 2.499 -0.114
Zn -1.292 3.037 1.445
Sb 3.315 0.461 1.337
Sb 0.000 0.000 0.000

Record 9
18
Lattice="6.922 0.000 0.000 0.000 7.291 0.000 -3.461 -3.645 8.476" Properties=species:S:1:pos:R:3 comment="Zn5Sb2As2 (PBE, optimized geometry)" density_g_cm3=5.593 final_energy_ev_per_atom=-2.613 sg="Ima2, No. 46" total_magnetization_mub_per_atom=0.0000 pbc="T T T"
As 0.000 0.237 0.000
As 3.935 3.595 4.238
As -0.474 -0.051 4.238
As 3.461 3.883 0.000
Zn 5.664 2.726 0.348
Zn 0.555 6.328 2.213
Zn -1.259 2.726 8.128
Zn 2.906 2.683 2.213
Zn 0.555 -0.963 6.263
Zn 4.354 -1.327 4.238
Zn -0.893 2.319 4.238
Zn -2.203 -0.920 8.128
Zn 2.906 2.683 6.263
Zn 4.720 6.371 0.348
Sb 0.370 3.677 2.273
Sb 0.370 3.677 6.203
Sb 3.091 0.032 2.273
Sb 3.091 0.032 6.203

Record 10
5
Lattice="4.065 0.000 0.000 0.000 4.065 0.000 2.033 2.033 6.178" Properties=species:S:1:pos:R:3 comment="Zn2SbAs2 (PBE, optimized geometry)" relative_energy_ev_per_atom=0.104 density_g_cm3=6.544 final_energy_ev_per_atom=-2.949 sg="I4/mmm, No. 139" total_magnetization_mub_per_atom=0.0000 pbc="T T T"
Zn 2.033 2.033 1.241
Zn 4.065 4.065 4.937
Sb 0.000 0.000 0.000
As 2.033 4.065 3.089
As 4.065 2.033 3.089

Record 11
4
Lattice="6.245 -0.048 0.041 3.931 4.852 -0.041 -5.019 -2.548 2.705" Properties=species:S:1:pos:R:3 comment="Zn2SbAs (PBE, optimized geometry)" relative_energy_ev_per_atom=0.115 density_g_cm3=6.600 final_energy_ev_per_atom=-2.681 sg="Imm2, No. 44" total_magnetization_mub_per_atom=0.0000 pbc="T T T"
As 5.039 2.379 0.000
Zn 0.215 0.102 0.000
Zn 2.557 -0.380 1.373
Sb 2.433 2.558 1.332

Record 12
10
Lattice="7.403 0.000 0.000 0.000 7.403 0.000 0.000 0.000 3.945" Properties=species:S:1:pos:R:3 comment="Zn2Sb2As (PBE, optimized geometry)" relative_energy_ev_per_atom=0.025 density_g_cm3=6.902 final_energy_ev_per_atom=-2.834 sg="P4/mbm, No. 127" total_magnetization_mub_per_atom=0.0000 pbc="T T T"
Zn 2.802 6.504 0.000
Zn 4.600 0.899 0.000
Zn 0.899 2.802 0.000
Zn 6.504 4.600 0.000
Sb 5.995 2.294 1.972
Sb 2.294 1.407 1.972
Sb 1.407 5.109 1.972
Sb 5.109 5.995 1.972
As 0.000 0.000 0.000
As 3.701 3.701 0.000

Record 13
3
Lattice="-2.283 2.409 -3.230 1.470 -0.043 -4.391 -2.453 -2.219 -3.241" Properties=species:S:1:pos:R:3 comment="ZnSbAs (PBE, optimized geometry)" relative_energy_ev_per_atom=0.065 density_g_cm3=6.197 final_energy_ev_per_atom=-3.154 sg="F-43m, No. 216" total_magnetization_mub_per_atom=0.0000 pbc="T T T"
Zn -2.450 0.110 -8.146
As 0.000 0.000 0.000
Sb -1.633 0.073 -5.431

Record 14
4
Lattice="-5.114 0.356 3.057 -1.601 -4.046 4.086 4.421 3.663 -1.633" Properties=species:S:1:pos:R:3 comment="ZnSbAs2 (PBE, optimized geometry)" relative_energy_ev_per_atom=0.233 density_g_cm3=6.583 final_energy_ev_per_atom=-3.401 sg="Immm, No. 71" total_magnetization_mub_per_atom=0.0000 pbc="T T T"
As -3.003 -1.650 3.195
As -0.354 -0.194 0.377
Zn -0.269 -1.114 3.012
Sb -2.025 1.087 2.498

Record 15
4
Lattice="-2.338 -2.754 4.336 1.834 -2.438 -0.560 4.801 0.881 3.148" Properties=species:S:1:pos:R:3 comment="ZnSb2As (PBE, optimized geometry)" relative_energy_ev_per_atom=0.059 density_g_cm3=6.515 final_energy_ev_per_atom=-3.418 sg="Pm, No. 6" total_magnetization_mub_per_atom=0.0000 pbc="T T T"
As 4.842 -3.030 4.359
Zn 2.164 -0.372 0.931
Sb 6.065 -1.626 2.237
Sb 1.180 -1.618 3.281

Record 16
4
Lattice="3.998 -0.005 0.006 2.003 3.461 0.006 2.001 1.152 6.928" Properties=species:S:1:pos:R:3 comment="ZnSb2As (PBE, optimized geometry)" relative_energy_ev_per_atom=0.031 density_g_cm3=6.649 final_energy_ev_per_atom=-3.445 sg="C2/m, No. 12" total_magnetization_mub_per_atom=0.0000 pbc="T T T"
Sb 2.000 1.152 6.888
Sb 4.001 2.305 3.510
Zn 6.001 3.456 5.205
As 2.000 1.152 1.735

Record 17
4
Lattice="0.000 3.418 3.418 3.418 0.000 3.418 3.418 3.418 0.000" Properties=species:S:1:pos:R:3 comment="Zn2SbAs (PBE, optimized geometry)" relative_energy_ev_per_atom=0.247 density_g_cm3=6.809 final_energy_ev_per_atom=-2.549 sg="Fm-3m, No. 225" total_magnetization_mub_per_atom=0.0000 pbc="T T T"
Zn 5.127 5.127 5.127
Zn 1.709 1.709 1.709
Sb 3.418 3.418 3.418
As 0.000 0.000 0.000

Record 18
4
Lattice="-0.603 -2.497 1.787 3.270 -1.747 -1.337 3.784 2.950 5.399" Properties=species:S:1:pos:R:3 comment="Zn2SbAs (PBE, optimized geometry)" relative_energy_ev_per_atom=0.062 density_g_cm3=6.105 final_energy_ev_per_atom=-2.735 sg="Pmm2, No. 25" total_magnetization_mub_per_atom=0.0000 pbc="T T T"
Zn 0.124 0.097 0.178
Zn 2.269 -1.393 1.559
Sb 4.493 0.341 4.734
As 1.457 1.135 2.078

Record 19
4
Lattice="-1.608 -1.000 3.393 -0.968 -2.522 -1.202 7.124 -1.881 2.822" Properties=species:S:1:pos:R:3 comment="ZnSbAs2 (PBE, optimized geometry)" relative_energy_ev_per_atom=0.082 density_g_cm3=6.355 final_energy_ev_per_atom=-3.552 sg="P2/m, No. 10" total_magnetization_mub_per_atom=0.0000 pbc="T T T"
As 3.348 -2.055 0.981
As 6.854 -2.028 2.651
Sb 0.735 -1.601 2.102
Zn 3.814 -3.802 2.911

Record 20
4
Lattice="-2.330 3.589 -2.283 -1.961 -3.217 -3.054 -2.740 -0.395 2.175" Properties=species:S:1:pos:R:3 comment="ZnSbAs2 (PBE, optimized geometry)" relative_energy_ev_per_atom=0.289 density_g_cm3=6.758 final_energy_ev_per_atom=-3.344 sg="P4/mmm, No. 123" total_magnetization_mub_per_atom=0.0000 pbc="T T T"
Zn -2.351 -1.806 -0.439
As 0.000 0.000 0.000
As -2.146 0.186 -2.669
Sb -2.535 1.597 -0.054

Record 21
5
Lattice="5.311 0.000 0.000 0.000 5.311 0.000 0.000 0.000 5.311" Properties=species:S:1:pos:R:3 comment="ZnSbAs3 (PBE, optimized geometry)" relative_energy_ev_per_atom=0.409 density_g_cm3=4.565 final_energy_ev_per_atom=-2.838 sg="Pm-3m, No. 221" total_magnetization_mub_per_atom=0.0000 pbc="T T T"
As 0.000 2.656 0.000
As 2.656 0.000 0.000
As 0.000 0.000 2.656
Zn 2.656 2.656 2.656
Sb 0.000 0.000 0.000

Record 22
4
Lattice="5.856 -0.059 0.010 -2.818 5.134 0.010 0.537 0.896 2.783" Properties=species:S:1:pos:R:3 comment="ZnSbAs2 (PBE, optimized geometry)" relative_energy_ev_per_atom=0.293 density_g_cm3=6.735 final_energy_ev_per_atom=-3.340 sg="C2/m, No. 12" total_magnetization_mub_per_atom=0.0000 pbc="T T T"
As 0.000 0.000 0.000
As 1.519 2.537 0.010
Zn -1.141 3.015 1.397
Sb 3.196 0.418 1.397

Record 23
4
Lattice="-4.391 -2.904 -2.218 1.546 -4.642 -2.948 1.241 2.063 5.180" Properties=species:S:1:pos:R:3 comment="ZnSb2As (PBE, optimized geometry)" relative_energy_ev_per_atom=0.248 density_g_cm3=6.861 final_energy_ev_per_atom=-3.229 sg="I-4m2, No. 119" total_magnetization_mub_per_atom=0.0000 pbc="T T T"
Sb 0.000 0.000 0.000
Sb 0.682 -3.176 -0.176
Zn -1.423 -3.773 -2.583
As -2.286 -2.307 0.189

Record 24
4
Lattice="5.211 0.045 0.012 1.079 5.098 -0.012 -2.495 -3.366 3.098" Properties=species:S:1:pos:R:3 comment="Zn2SbAs (PBE, optimized geometry)" relative_energy_ev_per_atom=0.160 density_g_cm3=6.629 final_energy_ev_per_atom=-2.636 sg="Immm, No. 71" total_magnetization_mub_per_atom=0.0000 pbc="T T T"
As 2.930 -0.375 1.555
Zn 3.272 2.675 0.000
Zn 6.163 5.039 0.000
Sb 0.864 2.152 1.543

Record 25
4
Lattice="-2.471 -4.026 -1.267 1.417 -2.620 -3.880 2.020 -4.410 0.632" Properties=species:S:1:pos:R:3 comment="ZnSbAs2 (PBE, optimized geometry)" relative_energy_ev_per_atom=0.285 density_g_cm3=6.763 final_energy_ev_per_atom=-3.349 sg="F-43m, No. 216" total_magnetization_mub_per_atom=0.0000 pbc="T T T"
Sb 0.483 -5.528 -2.257
As 0.000 0.000 0.000
As 0.241 -2.764 -1.129
Zn 0.724 -8.292 -3.386

Record 26
4
Lattice="5.306 -0.492 -0.130 1.346 5.156 0.130 -2.729 -3.183 3.291" Properties=species:S:1:pos:R:3 comment="ZnSb2As (PBE, optimized geometry)" relative_energy_ev_per_atom=0.214 density_g_cm3=6.832 final_energy_ev_per_atom=-3.263 sg="Immm, No. 71" total_magnetization_mub_per_atom=0.0000 pbc="T T T"
Sb 6.563 4.602 0.000
Sb 3.414 2.394 0.000
Zn 2.951 -0.671 1.581
As 0.971 2.153 1.710

Record 27
4
Lattice="-0.017 2.158 2.608 -2.392 -2.300 0.665 5.680 -4.757 3.973" Properties=species:S:1:pos:R:3 comment="ZnSb2As (PBE, optimized geometry)" relative_energy_ev_per_atom=0.226 density_g_cm3=6.891 final_energy_ev_per_atom=-3.251 sg="Cmmm, No. 65" total_magnetization_mub_per_atom=0.0000 pbc="T T T"
Zn 0.215 -1.261 2.630
Sb 2.794 -2.340 1.954
Sb 0.046 -0.038 0.032
As 3.055 -3.639 4.616

Record 28
4
Lattice="6.149 0.051 -0.121 5.112 3.417 -0.121 -1.567 -0.483 4.488" Properties=species:S:1:pos:R:3 comment="ZnSbAs2 (PBE, optimized geometry)" relative_energy_ev_per_atom=0.000 density_g_cm3=6.055 final_energy_ev_per_atom=-3.634 sg="C2/m, No. 12" total_magnetization_mub_per_atom=0.0000 pbc="T T T"
Zn 7.271 2.239 3.184
As 9.703 2.989 3.890
As 4.838 1.490 2.479
Sb 2.424 0.746 1.061

Record 29
5
Lattice="4.862 0.000 0.000 0.000 4.862 0.000 0.000 0.000 4.862" Properties=species:S:1:pos:R:3 comment="ZnSbAs3 (PBE, optimized geometry)" relative_energy_ev_per_atom=0.000 density_g_cm3=5.951 final_energy_ev_per_atom=-3.248 sg="Pm-3m, No. 221" total_magnetization_mub_per_atom=0.0000 pbc="T T T"
Sb 2.431 2.431 2.431
As 2.431 0.000 0.000
As 0.000 2.431 0.000
As 0.000 0.000 2.431
Zn 0.000 0.000 0.000

So what do the calculations give for N(E_F)? Going down the list: 0.340 0.314 0.428 0.397 0.763 0.667 0.546 0.418 0.405 0.428 0.410 0.478 0.070 0.480 0.546 0.451 0.758 0.323 0.497 0.426 1.423 0.335 0.457 0.348 0.403 0.453 0.452 0.267 0.820 states/eV per atom.